1.
Material: Al2Zn2Ga
Method: DFT, PBE-GGA
State: optimized geometry

Cell: 3.637 3.637 7.230 Å, 104.57 104.57 90.00°
Fractional positions:
Al: 0.600 0.600 0.199
Ga: 0.000 0.000 0.000
Zn: 0.750 0.250 0.500
Zn: 0.250 0.750 0.500
Al: 0.400 0.400 0.801

Values from the calculation:
The formation energy from the elements is 144 meV/atom. The total energy comes out at -0.181 Ry/atom. Its space group is I4/mmm, No. 139. The calculation puts the energy above the most stable polymorph in this dataset at 0.073 eV/atom.


2.
Material: AlZn4Ga3
Method: DFT, PBE-GGA
State: optimized geometry

Cell: 2.816 5.319 10.749 Å, 119.24 97.53 90.00°
Fractional positions:
Ga: 0.856 0.200 0.713
Zn: 0.125 0.272 0.250
Ga: 0.144 0.800 0.287
Zn: 0.739 0.264 0.478
Zn: 0.261 0.736 0.522
Ga: 0.000 0.500 0.000
Zn: 0.875 0.728 0.750
Al: 0.500 0.000 0.000

Values from the calculation:
The formation energy from the elements is 71 meV/atom. The total energy comes out at -0.159 Ry/atom. Its space group is C2/m, No. 12.


What did the second record say?
Material: AlZn4Ga3
Method: DFT, PBE-GGA
State: optimized geometry

Cell: 2.816 5.319 10.749 Å, 119.24 97.53 90.00°
Fractional positions:
Ga: 0.856 0.200 0.713
Zn: 0.125 0.272 0.250
Ga: 0.144 0.800 0.287
Zn: 0.739 0.264 0.478
Zn: 0.261 0.736 0.522
Ga: 0.000 0.500 0.000
Zn: 0.875 0.728 0.750
Al: 0.500 0.000 0.000

Values from the calculation:
The formation energy from the elements is 71 meV/atom. The total energy comes out at -0.159 Ry/atom. Its space group is C2/m, No. 12.